Entry from Alexandria via LeMat-Bulk: crystalline PmIn12Pd6 at its relaxed geometry (PBE).

a b c (Å): 12.4995 12.4995 9.4003
angles (deg): 90.00 90.00 120.00
Last column: nearest neighbours and their distance in Å.
Space group R-3m (No. 166, hexagonal axes)
One atom of each set of equivalent atoms:
Pm 0.0000 0.0000 0.0000 [3 per cell]  6 In 3.48
In 0.0000 0.3839 0.5000 [18 per cell]  4 Pd 2.73-2.87, 3 In 2.90-3.04
In 0.0842 0.1684 0.3158 [18 per cell]  3 Pd 2.75-2.86, 2 In 3.04
Pd 0.0500 0.5250 0.2430 [18 per cell]  7 In 2.73-2.87

## Properties
- total energy (eV/atom) = -3.95
- E_form (eV/atom) = -0.33